Entry from Alexandria: a geometry-optimized Pm2Zn2Pt3 structure (PBE-GGA).

Computed properties:
- Size of the total moment: 0.00 μB per formula unit
- Calculated formation energy: -612 kJ/mol of formula units
- E_tot: -146.1 eV for the cell shown

a b c (Å): 4.080 18.942 7.436
angles (deg): 90.00 90.00 90.00
Space group Cmcm (No. 63)
Unique sites:
Pm: 0.000 0.061 0.250 x4
Pm: 0.000 0.155 0.750 x4
Zn: 0.000 0.307 0.552 x8
Pt: 0.000 0.225 0.250 x4
Pt: 0.000 0.435 0.062 x8